First-principles (PBE) data for an optimized crystal structure of MgTc, as listed in the Alexandria database.

```
data_MgTc
_chemical_formula_sum 'Mg4 Tc4'
_cell_length_a 6.110
_cell_length_b 6.110
_cell_length_c 6.110
_cell_angle_alpha 90.00
_cell_angle_beta 90.00
_cell_angle_gamma 90.00
_symmetry_space_group_name_H-M 'F -4 3 m'
_symmetry_Int_Tables_number 216
_symmetry_space_group_name_Hall 'F -4 2 3'
loop_
_atom_site_label
_atom_site_fract_x
_atom_site_fract_y
_atom_site_fract_z
_atom_site_occupancy
Mg1 0.000 0.000 0.000 1
Tc1 0.250 0.250 0.250 1
```

total energy: -29.37 eV/cell
energy relative to the lowest polymorph listed for this composition: 2.334 eV/atom
DFT formation energy: 2.31 eV per atom

***

First-principles (PBE) data for an optimized crystal structure of NpTi2PbO8, as listed in the Alexandria database.

```
data_NpTi2PbO8
_chemical_formula_sum 'Np2 Ti4 Pb2 O16'
_cell_length_a 7.900
_cell_length_b 6.431
_cell_length_c 7.305
_cell_angle_alpha 90.00
_cell_angle_beta 101.74
_cell_angle_gamma 90.00
_symmetry_space_group_name_H-M 'C 1 2/m 1'
_symmetry_Int_Tables_number 12
loop_
_symmetry_equiv_pos_as_xyz
'x,y,z'
'-x,-y,-z'
'-x,y,-z'
'x,-y,z'
'x+1/2,y+1/2,z'
'-x+1/2,-y+1/2,-z'
'-x+1/2,y+1/2,-z'
'x+1/2,-y+1/2,z'
loop_
_atom_site_label
_atom_site_fract_x
_atom_site_fract_y
_atom_site_fract_z
_atom_site_occupancy
Np1 0.000 0.000 0.000 1
Ti1 0.048 0.500 0.704 1
Pb1 0.000 0.000 0.500 1
O1 0.003 0.232 0.781 1
O2 0.160 0.500 0.509 1
O3 0.245 0.000 0.074 1
```

E_form (uncorrected): -2.58 eV/atom
total energy: -206.25 eV/cell

***

First-principles (PBE) data for an optimized crystal structure of Y3AlAg, as listed in the Alexandria database.

```
data_Y3AlAg
_chemical_formula_sum 'Y12 Al4 Ag4'
_cell_length_a 5.084
_cell_length_b 20.280
_cell_length_c 5.084
_cell_angle_alpha 90.00
_cell_angle_beta 90.00
_cell_angle_gamma 90.00
_symmetry_space_group_name_H-M 'C m c m'
_symmetry_Int_Tables_number 63
_symmetry_space_group_name_Hall '-C 2c 2'
loop_
_atom_site_label
_atom_site_fract_x
_atom_site_fract_y
_atom_site_fract_z
_atom_site_occupancy
Y1 0.000 0.065 0.250 1
Y2 0.000 0.249 0.250 1
Y3 0.000 0.433 0.250 1
Al1 0.000 0.158 0.750 1
Ag1 0.000 0.338 0.750 1
```

total energy: -109.42 eV/cell
energy relative to the lowest polymorph listed for this composition: 0.000 eV/atom
DFT formation energy: -0.27 eV per atom

***

First-principles (PBE) data for an optimized crystal structure of V2HOsAu, as listed in the Alexandria database.

```
data_V2HOsAu
_chemical_formula_sum 'V2 H1 Os1 Au1'
_cell_length_a 4.735
_cell_length_b 4.735
_cell_length_c 4.890
_cell_angle_alpha 90.00
_cell_angle_beta 90.00
_cell_angle_gamma 90.00
_symmetry_space_group_name_H-M 'P 4/m m m'
_symmetry_Int_Tables_number 123
_symmetry_space_group_name_Hall '-P 4 2'
loop_
_atom_site_label
_atom_site_fract_x
_atom_site_fract_y
_atom_site_fract_z
_atom_site_occupancy
V1 0.000 0.500 0.000 1
H1 0.000 0.000 0.500 1
Os1 0.500 0.500 0.500 1
Au1 0.500 0.500 0.000 1
```

total energy: -23.09 eV/cell
energy relative to the lowest polymorph listed for this composition: 2.643 eV/atom

***

First-principles (PBE) data for an optimized crystal structure of SmThSn, as listed in the Alexandria database.

```
data_SmThSn
_chemical_formula_sum 'Sm1 Th1 Sn1'
_cell_length_a 5.3641
_cell_length_b 5.3641
_cell_length_c 3.6672
_cell_angle_alpha 90.00
_cell_angle_beta 90.00
_cell_angle_gamma 120.00
_symmetry_space_group_name_H-M 'P 3 m 1'
_symmetry_Int_Tables_number 156
loop_
_symmetry_equiv_pos_as_xyz
'x,y,z'
'-y,x-y,z'
'-x+y,-x,z'
'-y,-x,z'
'-x+y,y,z'
'x,x-y,z'
loop_
_atom_site_label
_atom_site_fract_x
_atom_site_fract_y
_atom_site_fract_z
_atom_site_occupancy
Sm1 0.0000 0.0000 0.0000 1
Th1 0.6667 0.3333 0.4580 1
Sn1 0.3333 0.6667 0.7776 1
```

total energy: -16.68 eV/cell
energy relative to the lowest polymorph listed for this composition: 0.351 eV/atom
DFT formation energy: -0.18 eV per atom

***

First-principles (PBE) data for an optimized crystal structure of Ac2PrDy3Y6, as listed in the Alexandria database.

```
data_Ac2PrDy3Y6
_chemical_formula_sum 'Ac4 Pr2 Dy6 Y12'
_cell_length_a 6.349
_cell_length_b 10.993
_cell_length_c 11.959
_cell_angle_alpha 90.00
_cell_angle_beta 100.18
_cell_angle_gamma 90.00
_symmetry_space_group_name_H-M 'C 1 2/m 1'
_symmetry_Int_Tables_number 12
loop_
_symmetry_equiv_pos_as_xyz
'x,y,z'
'-x,-y,-z'
'-x,y,-z'
'x,-y,z'
'x+1/2,y+1/2,z'
'-x+1/2,-y+1/2,-z'
'-x+1/2,y+1/2,-z'
'x+1/2,-y+1/2,z'
loop_
_atom_site_label
_atom_site_fract_x
_atom_site_fract_y
_atom_site_fract_z
_atom_site_occupancy
Ac1 0.000 0.167 0.000 1
Pr1 0.000 0.500 0.000 1
Dy1 0.000 0.000 0.500 1
Dy2 0.000 0.334 0.500 1
Y1 0.245 0.500 0.742 1
Y2 0.248 0.166 0.742 1
```

total energy: -130.20 eV/cell
DFT formation energy: 0.04 eV per atom